Entry i
A relaxed Co2TcAg crystal, computed with PBEsol.

Results
mass density	10.48	g cm⁻³
V	12.82	A^3/atom
crystal system	trigonal

Lattice parameters (Å, degrees): 8.6543 8.6543 8.6543 17.52 17.52 17.52
Closest atoms and distances in Å follow each position.
Positions (direct):
Co  0.2452  0.2452  0.2452  3 Tc 2.52, 6 Co 2.64, 3 Ag 2.72
Co  0.7548  0.7548  0.7548  3 Tc 2.52, 6 Co 2.64, 3 Ag 2.72
Tc  0.5000  0.5000  0.5000  6 Co 2.52, 6 Tc 2.64
Ag  0.0000  0.0000  0.0000  6 Ag 2.64, 6 Co 2.72

---

Entry ii
A relaxed Co2TcAg crystal, computed with PBEsol.

Results
mass density	10.49	g cm⁻³
V	12.81	A^3/atom
crystal system	orthorhombic

Lattice parameters (Å, degrees): 2.6003 3.6395 5.4135 90.00 90.00 90.00
Closest atoms and distances in Å follow each position.
Positions (direct):
Co  0.0000  0.0000  0.0000  1 Tc 2.33, 6 Co 2.55-2.60
Co  0.5000  0.5000  0.2245  4 Tc 2.50, 6 Co 2.55-2.60, 2 Ag 2.64-2.78
Tc  0.0000  0.0000  0.4301  5 Co 2.33-2.50, 2 Tc 2.60
Ag  0.5000  0.5000  0.7372  2 Ag 2.60, 6 Co 2.64-2.78, 4 Tc 2.79

---

Entry iii
A relaxed Co2TcAg crystal, computed with PBEsol.

Results
mass density	10.69	g cm⁻³
V	12.57	A^3/atom
crystal system	tetragonal

Lattice parameters (Å, degrees): 2.6421 2.6421 7.2051 90.00 90.00 90.00
Closest atoms and distances in Å follow each position.
Positions (direct):
Co  0.0000  0.0000  0.2291  4 Tc 2.49, 4 Co 2.64, 4 Ag 2.70
Co  0.0000  0.0000  0.7709  4 Tc 2.49, 4 Co 2.64, 4 Ag 2.70
Tc  0.5000  0.5000  0.0000  8 Co 2.49, 4 Tc 2.64
Ag  0.5000  0.5000  0.5000  4 Ag 2.64, 8 Co 2.70

---

Sorted by energy, starting with the most stable: entry iii, entry i, entry ii.

---

Entry i
A relaxed TlCo2Ag crystal, computed with PBEsol.

Results
mass density	11.32	g cm⁻³
V	15.78	A^3/atom
crystal system	trigonal

Lattice parameters (Å, degrees): 8.8159 8.8159 8.8159 18.95 18.95 18.95
Closest atoms and distances in Å follow each position.
Positions (direct):
Tl  0.0000  0.0000  0.0000  3 Co 2.85, 6 Tl 2.90, 3 Ag 3.11
Co  0.4837  0.4837  0.4837  3 Co 2.32
Co  0.7553  0.7553  0.7553  3 Co 2.32
Ag  0.2325  0.2325  0.2325  3 Co 2.71, 6 Ag 2.90

---

Entry ii
A relaxed TlCo2Ag crystal, computed with PBEsol.

Results
mass density	11.72	g cm⁻³
V	15.24	A^3/atom
crystal system	trigonal

Lattice parameters (Å, degrees): 8.5601 8.5601 8.5601 19.48 19.48 19.48
Closest atoms and distances in Å follow each position.
Positions (direct):
Tl  0.0000  0.0000  0.0000  6 Co 2.71, 6 Tl 2.90
Co  0.2485  0.2485  0.2485  3 Ag 2.65, 3 Tl 2.71, 6 Co 2.90
Co  0.7515  0.7515  0.7515  3 Ag 2.65, 3 Tl 2.71, 6 Co 2.90
Ag  0.5000  0.5000  0.5000  6 Co 2.65, 6 Ag 2.90

---

Sorted by energy, starting with the most stable: entry i, entry ii.